Below is an optimized crystal structure of La2Ga6TcPd, with properties calculated at the GGA-PBE level.

Geometry as CIF:
```
data_La2Ga6TcPd
_cell_length_a 6.407
_cell_length_b 6.447
_cell_length_c 7.083
_cell_angle_alpha 63.46
_cell_angle_beta 63.26
_cell_angle_gamma 60.32
_symmetry_space_group_name_H-M 'P -1'
_symmetry_Int_Tables_number 2
loop_
_symmetry_equiv_pos_as_xyz
'x,y,z'
'-x,-y,-z'
loop_
_atom_site_label
_atom_site_type_symbol
_atom_site_fract_x
_atom_site_fract_y
_atom_site_fract_z
La1 La 0.215 0.210 0.359
Ga1 Ga 0.251 0.256 0.813
Ga2 Ga 0.253 0.680 0.814
Ga3 Ga 0.322 0.742 0.185
Tc1 Tc 0.500 0.500 0.500
Pd1 Pd 0.000 0.000 0.000
```

## Properties
N(E_F), states/eV/f.u.: 6.13
Energy relative to the elements, meV/atom: -440
Magnetization, μB per formula unit: 0.00

***

Below is an optimized crystal structure of Mg2Ga3Ni5H2, with properties calculated at the GGA-PBE level.

Geometry as CIF:
```
data_Mg2Ga3Ni5H2
_cell_length_a 3.740
_cell_length_b 3.740
_cell_length_c 20.647
_cell_angle_alpha 90.00
_cell_angle_beta 90.00
_cell_angle_gamma 90.00
_symmetry_space_group_name_H-M 'I 4/m m m'
_symmetry_Int_Tables_number 139
_symmetry_space_group_name_Hall '-I 4 2'
loop_
_atom_site_label
_atom_site_type_symbol
_atom_site_fract_x
_atom_site_fract_y
_atom_site_fract_z
Mg1 Mg 0.000 0.000 0.199
Ga1 Ga 0.000 0.000 0.336
Ga2 Ga 0.000 0.000 0.500
Ni1 Ni 0.000 0.000 0.000
Ni2 Ni 0.000 0.500 0.087
H1 H 0.000 0.000 0.081
```

## Properties
Final energy, eV per atom: -4.231
N(E_F), states/eV/f.u.: 5.47
Magnetization, μB per formula unit: 0.00

***

Below is an optimized crystal structure of CdMoOs3, with properties calculated at the GGA-PBE level.

Geometry as CIF:
```
data_CdMoOs3
_cell_length_a 4.715
_cell_length_b 4.715
_cell_length_c 4.715
_cell_angle_alpha 90.00
_cell_angle_beta 90.00
_cell_angle_gamma 90.00
_symmetry_space_group_name_H-M 'P m -3 m'
_symmetry_Int_Tables_number 221
_symmetry_space_group_name_Hall '-P 4 2 3'
loop_
_atom_site_label
_atom_site_type_symbol
_atom_site_fract_x
_atom_site_fract_y
_atom_site_fract_z
Cd1 Cd 0.000 0.000 0.000
Mo1 Mo 0.500 0.500 0.500
Os1 Os 0.000 0.500 0.500
```

## Properties
N(E_F), states/eV/f.u.: 5.97
Energy relative to the elements, meV/atom: 2041
Magnetization, μB per formula unit: 0.00

***

Look up the N(E_F) of the second one. 5.47 states/eV/f.u.

***

Repeat the second record exactly.
Below is an optimized crystal structure of Mg2Ga3Ni5H2, with properties calculated at the GGA-PBE level.

Geometry as CIF:
```
data_Mg2Ga3Ni5H2
_cell_length_a 3.740
_cell_length_b 3.740
_cell_length_c 20.647
_cell_angle_alpha 90.00
_cell_angle_beta 90.00
_cell_angle_gamma 90.00
_symmetry_space_group_name_H-M 'I 4/m m m'
_symmetry_Int_Tables_number 139
_symmetry_space_group_name_Hall '-I 4 2'
loop_
_atom_site_label
_atom_site_type_symbol
_atom_site_fract_x
_atom_site_fract_y
_atom_site_fract_z
Mg1 Mg 0.000 0.000 0.199
Ga1 Ga 0.000 0.000 0.336
Ga2 Ga 0.000 0.000 0.500
Ni1 Ni 0.000 0.000 0.000
Ni2 Ni 0.000 0.500 0.087
H1 H 0.000 0.000 0.081
```

## Properties
Final energy, eV per atom: -4.231
N(E_F), states/eV/f.u.: 5.47
Magnetization, μB per formula unit: 0.00